Sr2Cu6P3 | PBE-GGA | optimized geometry

Cell lengths 7.388, 7.388, 4.057 Å; angles 90.00, 90.00, 120.00 degrees
Fractional positions:
1 Sr 0.333 0.667 0.000
2 Sr 0.667 0.333 0.000
3 Cu 0.000 0.196 0.000
4 Cu 0.000 0.739 0.500
5 Cu 0.196 0.000 0.000
6 Cu 0.261 0.261 0.500
7 Cu 0.739 0.000 0.500
8 Cu 0.804 0.804 0.000
9 P 0.000 0.352 0.500
10 P 0.352 0.000 0.500
11 P 0.648 0.648 0.500

Summary:
Its calculated total energy is -4.46 eV/atom. For the formation energy, the calculation gives -0.441 eV per atom. For the volume, the calculation gives 191.77 Å³/f.u. As for the spin magnetization: 0.00 μB per cell.

SrCu6P4 | PBE-GGA | optimized geometry

Cell lengths 6.203, 6.203, 6.203 Å; angles 117.29, 117.29, 94.77 degrees
Fractional positions:
1 Sr 0.000 0.000 0.000
2 Cu 0.000 0.500 0.500
3 Cu 0.224 0.522 0.000
4 Cu 0.478 0.478 0.702
5 Cu 0.500 0.000 0.500
6 Cu 0.522 0.224 0.000
7 Cu 0.776 0.776 0.298
8 P 0.142 0.142 0.581
9 P 0.439 0.858 0.000
10 P 0.561 0.561 0.419
11 P 0.858 0.439 0.000

Summary:
Its calculated total energy is -4.50 eV/atom. For the formation energy, the calculation gives -0.143 eV per atom. For the volume, the calculation gives 175.02 Å³/f.u. As for the spin magnetization: 0.00 μB per cell.

SrCuP2 | PBE-GGA | optimized geometry

Cell lengths 3.421, 3.421, 6.491 Å; angles 90.00, 90.00, 90.00 degrees
Fractional positions:
1 Sr 0.000 0.000 0.000
2 Cu 0.500 0.500 0.331
3 P 0.000 0.000 0.513
4 P 0.500 0.500 0.679

Summary:
Its calculated total energy is -4.14 eV/atom. For the formation energy, the calculation gives 0.005 eV per atom. For the volume, the calculation gives 75.97 Å³/f.u. As for the spin magnetization: 0.00 μB per cell.

SrCuP2 | PBE-GGA | optimized geometry

Cell lengths 5.024, 5.024, 3.184 Å; angles 90.00, 90.00, 100.36 degrees
Fractional positions:
1 Sr 0.000 0.000 0.000
2 Cu 0.500 0.500 0.000
3 P 0.000 0.500 0.500
4 P 0.500 0.000 0.500

Summary:
Its calculated total energy is -4.04 eV/atom. For the formation energy, the calculation gives 0.105 eV per atom. For the volume, the calculation gives 79.06 Å³/f.u. As for the spin magnetization: 0.00 μB per cell.

Sr2Cu5P4 | PBE-GGA | optimized geometry

Cell lengths 8.513, 7.099, 6.098 Å; angles 79.95, 55.20, 44.86 degrees
Fractional positions:
1 Sr 0.149 0.149 0.851
2 Sr 0.851 0.851 0.149
3 Cu 0.000 0.000 0.500
4 Cu 0.250 0.250 0.250
5 Cu 0.500 0.500 0.000
6 Cu 0.500 0.500 0.500
7 Cu 0.750 0.750 0.750
8 P 0.221 0.522 0.478
9 P 0.478 0.779 0.221
10 P 0.522 0.221 0.779
11 P 0.779 0.478 0.522

Summary:
Its calculated total energy is -4.46 eV/atom. For the formation energy, the calculation gives -0.326 eV per atom. For the volume, the calculation gives 195.89 Å³/f.u. As for the spin magnetization: 0.00 μB per cell.

SrCuTcP2 | PBE-GGA | optimized geometry

Cell lengths 6.676, 6.676, 6.676 Å; angles 145.85, 145.85, 49.08 degrees
Fractional positions:
1 Sr 0.000 0.000 0.000
2 Cu 0.250 0.750 0.500
3 Tc 0.750 0.250 0.500
4 P 0.358 0.358 0.000
5 P 0.642 0.642 0.000

Summary:
Its calculated total energy is -6.00 eV/atom. For the formation energy, the calculation gives -0.602 eV per atom. For the volume, the calculation gives 93.37 Å³/f.u. As for the spin magnetization: 0.00 μB per cell.

Sr2CuTeP | PBE-GGA | optimized geometry

Cell lengths 5.903, 5.903, 4.336 Å; angles 90.00, 90.00, 90.00 degrees
Fractional positions:
1 Sr 0.000 0.500 0.000
2 Sr 0.500 0.000 0.000
3 Cu 0.000 0.000 0.500
4 Te 0.500 0.500 0.500
5 P 0.000 0.000 0.000

Summary:
Its calculated total energy is -4.20 eV/atom. For the volume, the calculation gives 151.07 Å³/f.u. As for the spin magnetization: 0.00 μB per cell.

SrTlCu4P2 | PBE-GGA | optimized geometry

Cell lengths 3.993, 3.993, 9.490 Å; angles 90.00, 90.00, 90.00 degrees
Fractional positions:
1 Sr 0.000 0.000 0.000
2 Tl 0.000 0.000 0.500
3 Cu 0.000 0.500 0.286
4 Cu 0.000 0.500 0.714
5 Cu 0.500 0.000 0.286
6 Cu 0.500 0.000 0.714
7 P 0.500 0.500 0.174
8 P 0.500 0.500 0.826

Summary:
Its calculated total energy is -4.15 eV/atom. For the formation energy, the calculation gives -0.246 eV per atom. For the volume, the calculation gives 151.30 Å³/f.u. As for the spin magnetization: 0.00 μB per cell.